Computed, not measured: SrMoI3 after structural relaxation at the PBEsol level of DFT.

Cell and atoms, written as POSCAR:
```
SrMoI3
1.0
5.548 0.000 0.000
0.000 5.548 0.000
0.000 0.000 5.548
Sr Mo I
1 1 3
Direct
0.000 0.000 0.000
0.500 0.500 0.500
0.000 0.500 0.500
0.500 0.000 0.500
0.500 0.500 0.000
```

Uncorrected energy ... -3.97 eV per atom
Calculated volume ... 171 Å³ per cell
Calculated density ... 5.5 g/cm³

Computed, not measured: TeMoWI2 after structural relaxation at the PBEsol level of DFT.

Cell and atoms, written as POSCAR:
```
TeMoWI2
1.0
5.481 0.000 0.000
0.000 5.481 0.000
0.000 0.000 5.205
Te Mo W I
1 1 1 2
Direct
0.000 0.000 0.000
0.500 0.500 0.000
0.000 0.000 0.500
0.000 0.500 0.500
0.500 0.000 0.500
```

Uncorrected energy ... -5.01 eV per atom
Calculated volume ... 156 Å³ per cell
Calculated density ... 7.0 g/cm³
Polymorph energy (0 for the lowest one) ... 0 meV/atom

Computed, not measured: TiMoI2 after structural relaxation at the PBEsol level of DFT.

Cell and atoms, written as POSCAR:
```
TiMoI2
1.0
0.000 3.363 3.363
3.363 0.000 3.363
3.363 3.363 0.000
Ti Mo I
1 1 2
Direct
0.000 0.000 0.000
0.500 0.500 0.500
0.250 0.250 0.250
0.750 0.750 0.750
```

Uncorrected energy ... -5.39 eV per atom
Calculated volume ... 76 Å³ per cell
Calculated density ... 8.7 g/cm³

Computed, not measured: TiMo3I after structural relaxation at the PBEsol level of DFT.

Cell and atoms, written as POSCAR:
```
TiMo3I
1.0
4.767 0.000 0.000
0.000 4.767 0.000
0.000 0.000 4.767
Ti Mo I
1 3 1
Direct
0.000 0.000 0.000
0.000 0.500 0.500
0.500 0.000 0.500
0.500 0.500 0.000
0.500 0.500 0.500
```

Uncorrected energy ... -7.02 eV per atom
Calculated volume ... 108 Å³ per cell
Calculated density ... 7.1 g/cm³

Computed, not measured: Tl3MoI after structural relaxation at the PBEsol level of DFT.

Cell and atoms, written as POSCAR:
```
Tl3MoI
1.0
5.440 0.000 0.000
0.000 5.440 0.000
0.000 0.000 5.440
Tl Mo I
3 1 1
Direct
0.000 0.000 0.500
0.000 0.500 0.000
0.500 0.000 0.000
0.000 0.000 0.000
0.500 0.500 0.500
```

Uncorrected energy ... -3.74 eV per atom
Calculated volume ... 161 Å³ per cell
Calculated density ... 8.6 g/cm³

Computed, not measured: YMo2I after structural relaxation at the PBEsol level of DFT.

Cell and atoms, written as POSCAR:
```
YMo2I
1.0
0.000 3.331 3.331
3.331 0.000 3.331
3.331 3.331 0.000
Y Mo I
1 2 1
Direct
0.000 0.000 0.000
0.250 0.250 0.250
0.750 0.750 0.750
0.500 0.500 0.500
```

Uncorrected energy ... -7.20 eV per atom
Calculated volume ... 74 Å³ per cell
Calculated density ... 9.2 g/cm³

Computed, not measured: NaIN2 after structural relaxation at the PBEsol level of DFT.

Cell and atoms, written as POSCAR:
```
NaIN2
1.0
-2.581 2.581 5.405
2.581 -2.581 5.405
2.581 2.581 -5.405
Na I N
2 2 4
Direct
0.000 0.000 0.000
0.750 0.250 0.500
0.250 0.750 0.500
0.500 0.500 0.000
0.190 0.625 0.065
0.375 0.440 0.565
0.560 0.125 0.935
0.875 0.810 0.435
```

Uncorrected energy ... -3.93 eV per atom
Calculated volume ... 144 Å³ per cell
Calculated density ... 4.1 g/cm³

Computed, not measured: NaI2N2 after structural relaxation at the PBEsol level of DFT.

Cell and atoms, written as POSCAR:
```
NaI2N2
1.0
4.090 0.000 0.000
0.000 4.090 0.000
0.000 0.000 7.360
Na I N
1 2 2
Direct
0.000 0.000 0.000
0.500 0.500 0.000
0.500 0.500 0.500
0.000 0.500 0.500
0.500 0.000 0.500
```

Uncorrected energy ... -3.28 eV per atom
Calculated volume ... 123 Å³ per cell
Calculated density ... 4.1 g/cm³